AlRe2Au | PBE | optimized geometry

Properties
ΔH_f (0 K) in eV/atom: 0.161
Total magnetization in Bohr magnetons per cell: 0.00

The structure in CIF format:
```
data_AlRe2Au
_chemical_formula_sum 'Al2 Re4 Au2'
_cell_length_a 4.042
_cell_length_b 4.042
_cell_length_c 7.506
_cell_angle_alpha 90.00
_cell_angle_beta 90.00
_cell_angle_gamma 90.00
_space_group_name_H-M_alt 'P 1'
_space_group_IT_number 1
loop_
_space_group_symop_operation_xyz
'x,y,z'
loop_
_atom_site_label
_atom_site_type_symbol
_atom_site_fract_x
_atom_site_fract_y
_atom_site_fract_z
Al1 Al 0.000 0.000 0.000
Al2 Al 0.500 0.500 0.500
Re1 Re 0.000 0.000 0.500
Re2 Re 0.000 0.500 0.250
Re3 Re 0.500 0.000 0.750
Re4 Re 0.500 0.500 0.000
Au1 Au 0.000 0.500 0.750
Au2 Au 0.500 0.000 0.250
```

---

AlRe2Au | PBE | optimized geometry

Properties
ΔH_f (0 K) in eV/atom: 0.211
Total magnetization in Bohr magnetons per cell: 0.00

The structure in CIF format:
```
data_AlRe2Au
_chemical_formula_sum 'Al2 Re4 Au2'
_cell_length_a 2.869
_cell_length_b 4.479
_cell_length_c 9.745
_cell_angle_alpha 90.00
_cell_angle_beta 90.00
_cell_angle_gamma 90.00
_space_group_name_H-M_alt 'P 1'
_space_group_IT_number 1
loop_
_space_group_symop_operation_xyz
'x,y,z'
loop_
_atom_site_label
_atom_site_type_symbol
_atom_site_fract_x
_atom_site_fract_y
_atom_site_fract_z
Al1 Al 0.000 0.000 0.000
Al2 Al 0.500 0.500 0.500
Re1 Re 0.000 0.500 0.277
Re2 Re 0.000 0.500 0.723
Re3 Re 0.500 0.000 0.223
Re4 Re 0.500 0.000 0.777
Au1 Au 0.000 0.000 0.500
Au2 Au 0.500 0.500 0.000
```

---

AlReAu2 | PBE | optimized geometry

Properties
ΔH_f (0 K) in eV/atom: 0.151
Total magnetization in Bohr magnetons per cell: 0.00

The structure in CIF format:
```
data_AlReAu2
_chemical_formula_sum 'Al2 Re2 Au4'
_cell_length_a 9.458
_cell_length_b 2.809
_cell_length_c 5.090
_cell_angle_alpha 90.00
_cell_angle_beta 104.47
_cell_angle_gamma 90.00
_space_group_name_H-M_alt 'P 1'
_space_group_IT_number 1
loop_
_space_group_symop_operation_xyz
'x,y,z'
loop_
_atom_site_label
_atom_site_type_symbol
_atom_site_fract_x
_atom_site_fract_y
_atom_site_fract_z
Al1 Al 0.000 0.000 0.000
Al2 Al 0.500 0.500 0.000
Re1 Re 0.241 0.500 0.194
Re2 Re 0.741 0.000 0.194
Au1 Au 0.003 0.500 0.463
Au2 Au 0.270 0.000 0.717
Au3 Au 0.503 0.000 0.463
Au4 Au 0.770 0.500 0.717
```

---

Al2ReAu | PBE | optimized geometry

Properties
ΔH_f (0 K) in eV/atom: -0.256
Total magnetization in Bohr magnetons per cell: 0.00

The structure in CIF format:
```
data_Al2ReAu
_chemical_formula_sum 'Al2 Re1 Au1'
_cell_length_a 3.167
_cell_length_b 3.218
_cell_length_c 5.984
_cell_angle_alpha 90.00
_cell_angle_beta 90.00
_cell_angle_gamma 90.00
_space_group_name_H-M_alt 'P 1'
_space_group_IT_number 1
loop_
_space_group_symop_operation_xyz
'x,y,z'
loop_
_atom_site_label
_atom_site_type_symbol
_atom_site_fract_x
_atom_site_fract_y
_atom_site_fract_z
Al1 Al 0.000 0.000 0.224
Al2 Al 0.000 0.000 0.776
Re1 Re 0.500 0.500 0.000
Au1 Au 0.500 0.500 0.500
```

---

Al2ReAu | PBE | optimized geometry

Properties
ΔH_f (0 K) in eV/atom: 0.136
Total magnetization in Bohr magnetons per cell: 0.00

The structure in CIF format:
```
data_Al2ReAu
_chemical_formula_sum 'Al2 Re1 Au1'
_cell_length_a 2.782
_cell_length_b 2.782
_cell_length_c 8.202
_cell_angle_alpha 90.00
_cell_angle_beta 90.00
_cell_angle_gamma 90.00
_space_group_name_H-M_alt 'P 1'
_space_group_IT_number 1
loop_
_space_group_symop_operation_xyz
'x,y,z'
loop_
_atom_site_label
_atom_site_type_symbol
_atom_site_fract_x
_atom_site_fract_y
_atom_site_fract_z
Al1 Al 0.000 0.000 0.000
Al2 Al 0.500 0.500 0.257
Re1 Re 0.500 0.500 0.770
Au1 Au 0.000 0.000 0.503
```

---

AlRe3Au | PBE | optimized geometry

Properties
ΔH_f (0 K) in eV/atom: 1.819
Total magnetization in Bohr magnetons per cell: 0.00

The structure in CIF format:
```
data_AlRe3Au
_chemical_formula_sum 'Al1 Re3 Au1'
_cell_length_a 4.442
_cell_length_b 4.442
_cell_length_c 4.442
_cell_angle_alpha 90.00
_cell_angle_beta 90.00
_cell_angle_gamma 90.00
_space_group_name_H-M_alt 'P 1'
_space_group_IT_number 1
loop_
_space_group_symop_operation_xyz
'x,y,z'
loop_
_atom_site_label
_atom_site_type_symbol
_atom_site_fract_x
_atom_site_fract_y
_atom_site_fract_z
Al1 Al 0.000 0.000 0.000
Re1 Re 0.000 0.000 0.500
Re2 Re 0.000 0.500 0.000
Re3 Re 0.500 0.000 0.000
Au1 Au 0.500 0.500 0.500
```